1.
Computed, not measured: PmNdRh after structural relaxation at the PBE level of DFT.

Results
- formation energy (meV/atom) = -478
- distance to the lowest polymorph of the same formula (meV/atom) = 1

a = 7.1011 Å, b = 6.6475 Å, c = 7.8577 Å
α = 90.00°, β = 90.01°, γ = 90.00°
Closest atoms and distances in Å follow each position.
Sites, in units of the cell vectors:
Pm (0.0772, 0.2412, 0.3856)  3 Rh 2.83-2.85
Pm (0.0772, 0.2588, 0.8856)  3 Rh 2.83-2.85
Pm (0.9228, 0.7412, 0.1144)  3 Rh 2.83-2.85
Pm (0.9228, 0.7588, 0.6144)  3 Rh 2.83-2.85
Nd (0.4216, 0.7424, 0.8864)  3 Rh 2.85-2.87
Nd (0.4216, 0.7576, 0.3864)  3 Rh 2.85-2.87
Nd (0.5784, 0.2424, 0.6136)  3 Rh 2.85-2.87
Nd (0.5784, 0.2576, 0.1136)  3 Rh 2.85-2.87
Rh (0.2482, 0.0016, 0.6433)  3 Pm 2.83-2.85, 3 Nd 2.85-2.87
Rh (0.2482, 0.4984, 0.1433)  3 Pm 2.83-2.85, 3 Nd 2.85-2.87
Rh (0.7518, 0.5016, 0.8567)  3 Pm 2.83-2.85, 3 Nd 2.85-2.87
Rh (0.7518, 0.9984, 0.3567)  3 Pm 2.83-2.85, 3 Nd 2.85-2.87

2.
Computed, not measured: Pm2NdRh after structural relaxation at the PBE level of DFT.

Results
- formation energy (meV/atom) = -437
- distance to the lowest polymorph of the same formula (meV/atom) = 0

a = 7.3205 Å, b = 9.8932 Å, c = 6.4718 Å
α = 90.00°, β = 90.00°, γ = 90.00°
Closest atoms and distances in Å follow each position.
Sites, in units of the cell vectors:
Pm (0.1757, 0.0656, 0.1691)  2 Rh 2.90-2.91
Pm (0.1757, 0.4344, 0.1691)  2 Rh 2.90-2.91
Pm (0.3243, 0.5656, 0.6691)  2 Rh 2.90-2.91
Pm (0.3243, 0.9344, 0.6691)  2 Rh 2.90-2.91
Pm (0.6757, 0.0656, 0.3309)  2 Rh 2.90-2.91
Pm (0.6757, 0.4344, 0.3309)  2 Rh 2.90-2.91
Pm (0.8243, 0.5656, 0.8309)  2 Rh 2.90-2.91
Pm (0.8243, 0.9344, 0.8309)  2 Rh 2.90-2.91
Nd (0.0352, 0.2500, 0.6440)  2 Rh 2.87-2.98
Nd (0.4648, 0.7500, 0.1440)  2 Rh 2.87-2.98
Nd (0.5352, 0.2500, 0.8560)  2 Rh 2.87-2.98
Nd (0.9648, 0.7500, 0.3560)  2 Rh 2.87-2.98
Rh (0.1206, 0.7500, 0.9303)  2 Nd 2.87-2.98, 4 Pm 2.90-2.91
Rh (0.3794, 0.2500, 0.4303)  2 Nd 2.87-2.98, 4 Pm 2.90-2.91
Rh (0.6206, 0.7500, 0.5697)  2 Nd 2.87-2.98, 4 Pm 2.90-2.91
Rh (0.8794, 0.2500, 0.0697)  2 Nd 2.87-2.98, 4 Pm 2.90-2.91